1.
This record from Alexandria describes an optimized crystal structure of Cs2Np2PdS6. The functional is PBE.

Structure (POSCAR):
```
Cs2Np2PdS6
1.0
3.3324 -5.9295 0.0000
3.3324 5.9295 0.0000
-2.1172 0.0000 8.2924
Cs Np Pd S
2 2 1 6
Cartesian
3.3324 4.0440 0.0000
3.3324 -4.0440 0.0000
2.2738 1.9794 4.1462
2.2738 -1.9794 4.1462
-1.0586 0.0000 4.1462
0.1082 2.0637 5.6448
1.0128 0.0000 2.8077
0.1082 -2.0637 5.6448
4.4394 2.0637 2.6476
3.5348 0.0000 5.4847
4.4394 -2.0637 2.6476
```

Summary:
E ... -6.31 eV/atom
Symmetry ... C2/m (12)


2.
This record from Alexandria describes an optimized crystal structure of NaPr2S2O8F3. The functional is PBE.

Structure (POSCAR):
```
NaPr2S2O8F3
1.0
7.9177 -3.4935 0.0000
7.9177 3.4935 0.0000
-3.6138 0.0000 7.4759
Na Pr S O F
2 4 4 16 6
Cartesian
5.2073 2.6513 5.6070
7.0142 -2.6513 1.8690
5.8822 0.6414 0.2839
4.0753 -0.6414 4.0219
8.1463 0.6414 3.4541
6.3394 -0.6414 7.1921
0.4487 0.6089 4.9424
2.2556 -0.6089 1.2044
9.9659 0.6089 6.2715
11.7729 -0.6089 2.5336
1.5039 0.6140 0.8365
0.0338 1.0645 6.3101
4.1139 1.8345 3.5489
-0.3030 -0.6140 4.5745
1.9084 0.3411 5.0784
3.7154 -0.3411 1.3404
1.8407 -1.0645 2.5721
9.9145 1.8345 0.1891
2.3070 -1.8345 7.2868
10.3808 1.0645 4.9038
8.5062 0.3411 6.1355
10.3131 -0.3411 2.3976
12.5246 0.6140 2.9015
8.1076 -1.8345 3.9271
12.1878 -1.0645 1.1659
10.7177 -0.6140 6.6394
7.0142 1.9923 1.8690
4.1671 0.3951 6.2782
6.2475 0.3951 4.9357
5.9740 -0.3951 2.5402
8.0545 -0.3951 1.1978
5.2073 -1.9923 5.6070
```

Summary:
E ... -6.60 eV/atom
Symmetry ... C2/c (15)